Entry 1:
# PBE-GGA Zn2RuCl, relaxed
data_Zn2RuCl
_space_group_name_H-M_alt 'I m m 2'
_space_group_IT_number 44
_cell_length_a 2.919
_cell_length_b 4.258
_cell_length_c 12.043
_cell_angle_alpha 90.00
_cell_angle_beta 90.00
_cell_angle_gamma 90.00
loop_
_space_group_symop_operation_xyz
'x,y,z'
'-x,-y,z'
'-x,y,z'
'x,-y,z'
'x+1/2,y+1/2,z+1/2'
'-x+1/2,-y+1/2,z+1/2'
'-x+1/2,y+1/2,z+1/2'
'x+1/2,-y+1/2,z+1/2'
loop_
_atom_site_label
_atom_site_fract_x
_atom_site_fract_y
_atom_site_fract_z
Zn1 0.000 0.000 0.000
Zn2 0.000 0.500 0.142
Ru1 0.000 0.500 0.674
Cl1 0.000 0.000 0.338
# DOS at the Fermi energy: 2.70 states/eV/f.u.
# raw formation energy: 44 meV/atom
# final energy: -3.373 eV/atom


Entry 2:
# PBE-GGA AlCuAs, relaxed
data_AlCuAs
_space_group_name_H-M_alt 'P 3 m 1'
_space_group_IT_number 156
_cell_length_a 2.8794
_cell_length_b 2.8794
_cell_length_c 6.6380
_cell_angle_alpha 90.00
_cell_angle_beta 90.00
_cell_angle_gamma 120.00
loop_
_space_group_symop_operation_xyz
'x,y,z'
'-y,x-y,z'
'-x+y,-x,z'
'-y,-x,z'
'-x+y,y,z'
'x,x-y,z'
loop_
_atom_site_label
_atom_site_fract_x
_atom_site_fract_y
_atom_site_fract_z
Al1 0.0000 0.0000 0.0000
Cu1 0.6667 0.3333 0.7010
As1 0.3333 0.6667 0.3678
# DOS at the Fermi energy: 0.83 states/eV/f.u.
# DFT formation energy: 0.13 eV per atom
# final energy: -4.032 eV/atom


Entry 3:
# PBE-GGA LuMo6S8, relaxed
data_LuMo6S8
_space_group_name_H-M_alt 'R -3'
_space_group_IT_number 148
_space_group_name_Hall '-R 3'
_cell_length_a 9.1256
_cell_length_b 9.1256
_cell_length_c 11.2740
_cell_angle_alpha 90.00
_cell_angle_beta 90.00
_cell_angle_gamma 120.00
loop_
_atom_site_label
_atom_site_fract_x
_atom_site_fract_y
_atom_site_fract_z
Lu1 0.0000 0.0000 0.0000
Mo1 0.0203 0.1787 0.4004
S1 0.0000 0.0000 0.2355
S2 0.0046 0.6200 0.7491
# DOS at the Fermi energy: 6.19 states/eV/f.u.
# raw formation energy: -884 meV/atom
# final energy: -7.719 eV/atom


Entry 4:
# PBE-GGA Si3AgAs, relaxed
data_Si3AgAs
_space_group_name_H-M_alt 'P m -3 m'
_space_group_IT_number 221
_space_group_name_Hall '-P 4 2 3'
_cell_length_a 4.809
_cell_length_b 4.809
_cell_length_c 4.809
_cell_angle_alpha 90.00
_cell_angle_beta 90.00
_cell_angle_gamma 90.00
loop_
_atom_site_label
_atom_site_fract_x
_atom_site_fract_y
_atom_site_fract_z
Si1 0.000 0.000 0.500
Ag1 0.500 0.500 0.500
As1 0.000 0.000 0.000
# DOS at the Fermi energy: 2.98 states/eV/f.u.
# raw formation energy: 1093 meV/atom
# final energy: -3.661 eV/atom


The highest DOS at the Fermi energy belongs to which entry?
LuMo6S8


Look up the DOS at the Fermi energy of the second one.
0.83 states/eV/f.u.


What is the final energy in the third record?
-7.719 eV/atom